DFT (PBE) results for a geometry-optimized Pm2Pr4YHo2 structure.

The calculation puts the calculated formation energy at 0.2 eV/f.u. As for the crystal system: monoclinic. As for the total magnetic moment: 0.0 μB/f.u. As for the total energy: -4.894 eV per atom.

Unit cell a=15.503 b=5.166 c=8.123 alpha=90.00 beta=108.60 gamma=90.00
Space group C2/m (No. 12)
Symmetry-distinct sites (fractional):
Pm1 0.112 0.000 0.170 x4
Pr1 0.055 0.500 0.831 x4
Pr2 0.222 0.000 0.830 x4
Y1 0.000 0.000 0.500 x2
Ho1 0.167 0.500 0.500 x4